# 1
Below is Dy3Ho2Th6 after structural relaxation, with properties calculated at the PBE-GGA level.

## Properties
* space-group type: R-3m, No. 166
* calculated density: 10.50 Mg/m³
* VASP energy: -67.132 eV/cell

Lattice parameters (Å, degrees): 31.7247 31.7247 31.7247 6.45 6.45 6.45
With the nearest neighbours (Å) after each atom.
Atoms (fractional coordinates):
Dy 0.0000 0.0000 0.0000  6 Th 3.54, 6 Dy 3.57
Dy 0.2728 0.2728 0.2728  6 Th 3.53-3.54, 6 Dy 3.57
Dy 0.7272 0.7272 0.7272  6 Th 3.53-3.54, 6 Dy 3.57
Ho 0.4542 0.4542 0.4542  6 Th 3.52-3.58, 6 Ho 3.57
Ho 0.5458 0.5458 0.5458  6 Th 3.52-3.58, 6 Ho 3.57
Th 0.0908 0.0908 0.0908  3 Ho 3.52, 3 Dy 3.54, 6 Th 3.57
Th 0.1816 0.1816 0.1816  9 Th 3.50-3.57, 3 Ho 3.58
Th 0.3636 0.3636 0.3636  6 Dy 3.53-3.54, 6 Th 3.57
Th 0.6364 0.6364 0.6364  6 Dy 3.53-3.54, 6 Th 3.57
Th 0.8184 0.8184 0.8184  9 Th 3.50-3.57, 3 Ho 3.58
Th 0.9092 0.9092 0.9092  3 Ho 3.52, 3 Dy 3.54, 6 Th 3.57

# 2
Below is AcLa6Pm4 after structural relaxation, with properties calculated at the PBE-GGA level.

## Properties
* space-group type: Ccce, No. 68
* calculated density: 6.49 Mg/m³
* VASP energy: -100.488 eV/cell

Lattice parameters (Å, degrees): 13.0489 13.0489 6.5563 90.00 90.00 131.28
With the nearest neighbours (Å) after each atom.
Atoms (fractional coordinates):
Ac 0.2500 0.7500 0.7500  4 Pm 3.55, 6 La 3.67-3.70
Ac 0.7500 0.2500 0.2500  4 Pm 3.55, 6 La 3.67-3.70
La 0.0914 0.5914 0.2500  3 La 3.42-3.82, 2 Pm 3.52, 3 Ac 3.67-3.70
La 0.1018 0.8982 0.2500  6 Pm 3.56-3.82, 4 La 3.91-3.96
La 0.2500 0.2500 0.0053  2 La 3.28, 4 Pm 3.45-3.46
La 0.2500 0.2500 0.5053  2 La 3.28, 4 Pm 3.45-3.46
La 0.3982 0.6018 0.2500  6 Pm 3.56-3.82, 4 La 3.91-3.96
La 0.4086 0.9086 0.2500  3 La 3.42-3.82, 2 Pm 3.52, 3 Ac 3.67-3.70
La 0.5914 0.0914 0.7500  3 La 3.42-3.82, 2 Pm 3.52, 3 Ac 3.67-3.70
La 0.6018 0.3982 0.7500  6 Pm 3.56-3.82, 4 La 3.91-3.96
La 0.7500 0.7500 0.4947  2 La 3.28, 4 Pm 3.45-3.46
La 0.7500 0.7500 0.9947  2 La 3.28, 4 Pm 3.45-3.46
La 0.8982 0.1018 0.7500  6 Pm 3.56-3.82, 4 La 3.91-3.96
La 0.9086 0.4086 0.7500  3 La 3.42-3.82, 2 Pm 3.52, 3 Ac 3.67-3.70
Pm 0.0501 0.2960 0.2533  6 La 3.45-3.82, 1 Ac 3.55, 3 Pm 3.67-3.73
Pm 0.2040 0.4499 0.7533  6 La 3.45-3.82, 1 Ac 3.55, 3 Pm 3.67-3.73
Pm 0.2960 0.0501 0.7533  6 La 3.45-3.82, 1 Ac 3.55, 3 Pm 3.67-3.73
Pm 0.4499 0.2040 0.2533  6 La 3.45-3.82, 1 Ac 3.55, 3 Pm 3.67-3.73
Pm 0.5501 0.7960 0.7467  6 La 3.45-3.82, 1 Ac 3.55, 3 Pm 3.67-3.73
Pm 0.7040 0.9499 0.2467  6 La 3.45-3.82, 1 Ac 3.55, 3 Pm 3.67-3.73
Pm 0.7960 0.5501 0.2467  6 La 3.45-3.82, 1 Ac 3.55, 3 Pm 3.67-3.73
Pm 0.9499 0.7040 0.7467  6 La 3.45-3.82, 1 Ac 3.55, 3 Pm 3.67-3.73

# 3
Below is MgPaZn2N4 after structural relaxation, with properties calculated at the PBE-GGA level.

## Properties
* space-group type: I-42m, No. 121
* calculated density: 7.06 Mg/m³
* formation energy without anion corrections: -0.454 eV/atom

Lattice parameters (Å, degrees): 5.2394 5.2394 5.2394 118.44 118.44 92.72
With the nearest neighbours (Å) after each atom.
Atoms (fractional coordinates):
Mg 0.0000 0.0000 0.0000  4 N 2.10
Pa 0.5000 0.5000 0.0000  4 N 2.18
Zn 0.2500 0.7500 0.5000  4 N 2.06
Zn 0.7500 0.2500 0.5000  4 N 2.06
N 0.1058 0.6183 0.0000  2 Zn 2.06, 1 Mg 2.10, 1 Pa 2.18
N 0.3817 0.3817 0.4874  2 Zn 2.06, 1 Mg 2.10, 1 Pa 2.18
N 0.6183 0.1058 0.0000  2 Zn 2.06, 1 Mg 2.10, 1 Pa 2.18
N 0.8942 0.8942 0.5126  2 Zn 2.06, 1 Mg 2.10, 1 Pa 2.18

# 4
Below is TiIrSeN2 after structural relaxation, with properties calculated at the PBE-GGA level.

## Properties
* space-group type: P4/mmm, No. 123
* calculated density: 7.32 Mg/m³
* E above lowest polymorph: 0.226 eV/atom
* formation energy without anion corrections: 0.849 eV/atom

Lattice parameters (Å, degrees): 3.8050 3.8050 5.4345 90.00 90.00 90.00
With the nearest neighbours (Å) after each atom.
Atoms (fractional coordinates):
Ti 0.0000 0.0000 0.0000  4 N 1.90
Ir 0.5000 0.5000 0.5000  4 Se 2.69
Se 0.0000 0.0000 0.5000  4 Ir 2.69, 2 Ti 2.72
N 0.0000 0.5000 0.0000  2 Ti 1.90
N 0.5000 0.0000 0.0000  2 Ti 1.90

# 5
Below is LiDyGe2Pd after structural relaxation, with properties calculated at the PBE-GGA level.

## Properties
* space-group type: I-4m2, No. 119
* calculated density: 7.76 Mg/m³
* VASP energy: -24.665 eV/cell

Lattice parameters (Å, degrees): 6.1833 6.1833 6.1833 141.72 141.72 55.26
With the nearest neighbours (Å) after each atom.
Atoms (fractional coordinates):
Li 0.0000 0.0000 0.0000  4 Ge 2.53
Dy 0.7500 0.2500 0.5000  8 Ge 3.12, 4 Pd 3.41, 4 Li 3.41
Ge 0.1384 0.6384 0.5000  1 Ge 2.45, 2 Li 2.53, 2 Pd 2.53
Ge 0.3616 0.8616 0.5000  1 Ge 2.45, 2 Pd 2.53, 2 Li 2.53
Pd 0.5000 0.5000 0.0000  4 Ge 2.53

# 6
Below is Pm12TmMg3 after structural relaxation, with properties calculated at the PBE-GGA level.

## Properties
* space-group type: P4/mmm, No. 123
* calculated density: 6.44 Mg/m³
* VASP energy: -66.197 eV/cell

Lattice parameters (Å, degrees): 5.0216 5.0216 20.2517 90.00 90.00 90.00
With the nearest neighbours (Å) after each atom.
Atoms (fractional coordinates):
Pm 0.0000 0.0000 0.0000  8 Pm 3.55, 4 Mg 3.55
Pm 0.0000 0.0000 0.2475  8 Pm 3.55-3.57, 4 Mg 3.55
Pm 0.0000 0.0000 0.5000  4 Tm 3.55, 8 Pm 3.60
Pm 0.0000 0.0000 0.7525  8 Pm 3.55-3.57, 4 Mg 3.55
Pm 0.0000 0.5000 0.1238  4 Mg 3.53-3.55, 8 Pm 3.55
Pm 0.0000 0.5000 0.3727  8 Pm 3.55-3.60, 2 Mg 3.58, 2 Tm 3.60
Pm 0.0000 0.5000 0.6273  8 Pm 3.55-3.60, 2 Mg 3.58, 2 Tm 3.60
Pm 0.0000 0.5000 0.8762  4 Mg 3.53-3.55, 8 Pm 3.55
Pm 0.5000 0.0000 0.1238  4 Mg 3.53-3.55, 8 Pm 3.55
Pm 0.5000 0.0000 0.3727  8 Pm 3.55-3.60, 2 Mg 3.58, 2 Tm 3.60
Pm 0.5000 0.0000 0.6273  8 Pm 3.55-3.60, 2 Mg 3.58, 2 Tm 3.60
Pm 0.5000 0.0000 0.8762  4 Mg 3.53-3.55, 8 Pm 3.55
Tm 0.5000 0.5000 0.5000  12 Pm 3.55-3.60
Mg 0.5000 0.5000 0.0000  12 Pm 3.55
Mg 0.5000 0.5000 0.2464  12 Pm 3.53-3.58
Mg 0.5000 0.5000 0.7536  12 Pm 3.53-3.58

# 7
Below is PuZrIN2 after structural relaxation, with properties calculated at the PBE-GGA level.

## Properties
* space-group type: P2_1/m, No. 11
* calculated density: 7.31 Mg/m³
* formation energy without anion corrections: -1.285 eV/atom

Lattice parameters (Å, degrees): 7.5351 4.1826 7.7131 90.00 113.67 90.00
With the nearest neighbours (Å) after each atom.
Atoms (fractional coordinates):
Pu 0.1468 0.2500 0.4301  4 N 2.27-2.33
Pu 0.8532 0.7500 0.5699  4 N 2.27-2.33
Zr 0.1156 0.2500 0.9253  4 N 2.11-2.17
Zr 0.8844 0.7500 0.0747  4 N 2.11-2.17
I 0.4935 0.7500 0.7507  1 Zr 3.00
I 0.5065 0.2500 0.2493  1 Zr 3.00
N 0.0142 0.7500 0.3757  1 Zr 2.13, 3 Pu 2.27-2.28
N 0.0343 0.7500 0.8955  3 Zr 2.11-2.17, 1 Pu 2.33
N 0.9657 0.2500 0.1045  3 Zr 2.11-2.17, 1 Pu 2.33
N 0.9858 0.2500 0.6243  1 Zr 2.13, 3 Pu 2.27-2.28

# 8
Below is Lu3TcO after structural relaxation, with properties calculated at the PBE-GGA level.

## Properties
* space-group type: Pm-3m, No. 221
* calculated density: 11.23 Mg/m³
* formation energy without anion corrections: -1.143 eV/atom

Lattice parameters (Å, degrees): 4.5548 4.5548 4.5548 90.00 90.00 90.00
With the nearest neighbours (Å) after each atom.
Atoms (fractional coordinates):
Lu 0.0000 0.0000 0.5000  2 O 2.28
Lu 0.0000 0.5000 0.0000  2 O 2.28
Lu 0.5000 0.0000 0.0000  2 O 2.28
Tc 0.5000 0.5000 0.5000  12 Lu 3.22
O 0.0000 0.0000 0.0000  6 Lu 2.28